DFT (PBEsol) results for an optimized crystal structure of SbHRhI2.

```
SbHRhI2
1.0
5.361 0.000 0.000
0.000 5.361 0.000
0.000 0.000 3.532
Sb H Rh I
1 1 1 2
Direct
0.000 0.000 0.000
0.500 0.500 0.500
0.500 0.500 0.000
0.000 0.500 0.500
0.500 0.000 0.500
```

Summary:
raw total energy = -3.34 eV/atom
spin magnetization = 0.000 μB/f.u.